No. 1
## ZrCuAgPb (PBE-GGA)

Data for a geometry-optimized ZrCuAgPb structure.

The value obtained for the relative energy among the computed polymorphs is 11 meV per atom. The raw total energy is -4.57 eV per atom.

The structure belongs to space group F-43m (No. 216); the cell edges are 6.843, 6.843 and 6.843 Å and the angles 90.00°, 90.00° and 90.00°. The distinct sites, in fractional coordinates, are Zr at (0.000, 0.000, 0.000), Cu at (0.000, 0.000, 0.500), Ag at (0.250, 0.250, 0.750) and Pb at (0.250, 0.250, 0.250).



No. 2
## ZrCuAgPb (PBE-GGA)

Data for a geometry-optimized ZrCuAgPb structure.

The value obtained for the relative energy among the computed polymorphs is 0 meV per atom. The raw total energy is -4.58 eV per atom.

The structure belongs to space group F-43m (No. 216); the cell edges are 6.816, 6.816 and 6.816 Å and the angles 90.00°, 90.00° and 90.00°. The distinct sites, in fractional coordinates, are Zr at (0.000, 0.000, 0.000), Cu at (0.250, 0.250, 0.750), Ag at (0.250, 0.250, 0.250) and Pb at (0.000, 0.000, 0.500).



No. 3
## CuAg2Pd2 (PBE-GGA)

Data for a geometry-optimized CuAg2Pd2 structure.

The formation energy is 2.051 eV per formula unit. The value obtained for the relative energy among the computed polymorphs is 10 meV per atom. The raw total energy is -3.53 eV per atom.

The structure belongs to space group I4/mmm (No. 139); the cell edges are 3.720, 3.720 and 12.752 Å and the angles 90.00°, 90.00° and 90.00°. The distinct sites, in fractional coordinates, are Cu at (0.000, 0.000, 0.000), Ag at (0.000, 0.000, 0.402) and Pd at (0.000, 0.500, 0.250).



No. 4
## Cu2AgPd2 (PBE-GGA)

Data for a geometry-optimized Cu2AgPd2 structure.

The formation energy is 1.072 eV per formula unit. The value obtained for the relative energy among the computed polymorphs is 6 meV per atom. The raw total energy is -3.91 eV per atom.

The structure belongs to space group I4/mmm (No. 139); the cell edges are 3.781, 3.781 and 11.255 Å and the angles 90.00°, 90.00° and 90.00°. The distinct sites, in fractional coordinates, are Cu at (0.000, 0.000, 0.101), Ag at (0.000, 0.000, 0.500) and Pd at (0.000, 0.500, 0.250).



No. 5
## CuAg2Pd2 (PBE-GGA)

Data for a geometry-optimized CuAg2Pd2 structure.

The formation energy is 2.001 eV per formula unit. The value obtained for the relative energy among the computed polymorphs is 0 meV per atom. The raw total energy is -3.54 eV per atom.

The structure belongs to space group I4/mmm (No. 139); the cell edges are 3.699, 3.699 and 13.291 Å and the angles 90.00°, 90.00° and 90.00°. The distinct sites, in fractional coordinates, are Cu at (0.000, 0.000, 0.000), Ag at (0.000, 0.500, 0.250) and Pd at (0.000, 0.000, 0.404).



No. 6
## Cu2AgPd3 (PBE-GGA)

Data for a geometry-optimized Cu2AgPd3 structure.

The formation energy is -0.481 eV per formula unit. The raw total energy is -4.38 eV per atom.

The structure belongs to space group P-3m1 (No. 164); the cell edges are 2.7793, 2.7793 and 13.2104 Å and the angles 90.00°, 90.00° and 120.00°. The distinct sites, in fractional coordinates, are Cu at (0.3333, 0.6667, 0.1594), Ag at (0.0000, 0.0000, 0.5000), Pd at (0.0000, 0.0000, 0.0000) and Pd at (0.3333, 0.6667, 0.6818).



No. 7
## CuAg2Pd3 (PBE-GGA)

Data for a geometry-optimized CuAg2Pd3 structure.

The formation energy is -0.423 eV per formula unit. The raw total energy is -4.22 eV per atom.

The structure belongs to space group P-3m1 (No. 164); the cell edges are 2.8210, 2.8210 and 13.6258 Å and the angles 90.00°, 90.00° and 120.00°. The distinct sites, in fractional coordinates, are Cu at (0.0000, 0.0000, 0.0000), Ag at (0.3333, 0.6667, 0.6739), Pd at (0.0000, 0.0000, 0.5000) and Pd at (0.3333, 0.6667, 0.1520).



No. 8
## CuAgPd2 (PBE-GGA)

Data for a geometry-optimized CuAgPd2 structure.

The formation energy is -0.009 eV per formula unit. The raw total energy is -4.23 eV per atom.

The structure belongs to space group F-43m (No. 216); the cell edges are 6.267, 6.267 and 6.267 Å and the angles 90.00°, 90.00° and 90.00°. The distinct sites, in fractional coordinates, are Cu at (0.000, 0.000, 0.000), Ag at (0.250, 0.250, 0.250), Pd at (0.000, 0.000, 0.500) and Pd at (0.250, 0.250, 0.750).



No. 9
## Cu2AgPd2 (PBE-GGA)

Data for a geometry-optimized Cu2AgPd2 structure.

The formation energy is 1.040 eV per formula unit. The value obtained for the relative energy among the computed polymorphs is 0 meV per atom. The raw total energy is -3.91 eV per atom.

The structure belongs to space group I4/mmm (No. 139); the cell edges are 3.652, 3.652 and 11.770 Å and the angles 90.00°, 90.00° and 90.00°. The distinct sites, in fractional coordinates, are Cu at (0.000, 0.500, 0.250), Ag at (0.000, 0.000, 0.000) and Pd at (0.000, 0.000, 0.392).



No. 10
## CuSiAgPd (PBE-GGA)

Data for a geometry-optimized CuSiAgPd structure.

The value obtained for the relative energy among the computed polymorphs is 0 meV per atom. The raw total energy is -4.33 eV per atom.

The structure belongs to space group F-43m (No. 216); the cell edges are 6.149, 6.149 and 6.149 Å and the angles 90.00°, 90.00° and 90.00°. The distinct sites, in fractional coordinates, are Cu at (0.000, 0.000, 0.000), Si at (0.250, 0.250, 0.750), Ag at (0.250, 0.250, 0.250) and Pd at (0.000, 0.000, 0.500).



No. 11
## CuAgTePd (PBE-GGA)

Data for a geometry-optimized CuAgTePd structure.

The value obtained for the relative energy among the computed polymorphs is 0 meV per atom. The raw total energy is -3.70 eV per atom.

The structure belongs to space group F-43m (No. 216); the cell edges are 6.565, 6.565 and 6.565 Å and the angles 90.00°, 90.00° and 90.00°. The distinct sites, in fractional coordinates, are Cu at (0.000, 0.000, 0.000), Ag at (0.250, 0.250, 0.250), Te at (0.250, 0.250, 0.750) and Pd at (0.000, 0.000, 0.500).



No. 12
## TlCuAgPd (PBE-GGA)

Data for a geometry-optimized TlCuAgPd structure.

The value obtained for the relative energy among the computed polymorphs is 0 meV per atom. The raw total energy is -3.49 eV per atom.

The structure belongs to space group F-43m (No. 216); the cell edges are 6.515, 6.515 and 6.515 Å and the angles 90.00°, 90.00° and 90.00°. The distinct sites, in fractional coordinates, are Tl at (0.000, 0.000, 0.000), Cu at (0.250, 0.250, 0.250), Ag at (0.000, 0.000, 0.500) and Pd at (0.250, 0.250, 0.750).



No. 13
## CuAgPdW (PBE-GGA)

Data for a geometry-optimized CuAgPdW structure.

The formation energy is 1.984 eV per formula unit. The value obtained for the relative energy among the computed polymorphs is 81 meV per atom. The raw total energy is -5.67 eV per atom.

The structure belongs to space group F-43m (No. 216); the cell edges are 6.250, 6.250 and 6.250 Å and the angles 90.00°, 90.00° and 90.00°. The distinct sites, in fractional coordinates, are Cu at (0.000, 0.000, 0.000), Ag at (0.250, 0.250, 0.750), Pd at (0.250, 0.250, 0.250) and W at (0.000, 0.000, 0.500).



No. 14
## CuAgPdW (PBE-GGA)

Data for a geometry-optimized CuAgPdW structure.

The formation energy is 1.661 eV per formula unit. The value obtained for the relative energy among the computed polymorphs is 0 meV per atom. The raw total energy is -5.75 eV per atom.

The structure belongs to space group F-43m (No. 216); the cell edges are 6.241, 6.241 and 6.241 Å and the angles 90.00°, 90.00° and 90.00°. The distinct sites, in fractional coordinates, are Cu at (0.000, 0.000, 0.000), Ag at (0.250, 0.250, 0.250), Pd at (0.000, 0.000, 0.500) and W at (0.250, 0.250, 0.750).



No. 15
## PmCuAg (PBE-GGA)

Data for a geometry-optimized PmCuAg structure.

The formation energy is -0.763 eV per formula unit. The value obtained for the relative energy among the computed polymorphs is 0 meV per atom. The raw total energy is -4.02 eV per atom.

The structure belongs to space group C2/m (No. 12); the cell edges are 10.165, 4.139 and 7.300 Å and the angles 90.00°, 124.54° and 90.00°. The distinct sites, in fractional coordinates, are Pm at (0.057, 0.000, 0.302), Cu at (0.140, 0.500, 0.668) and Ag at (0.177, 0.500, 0.086).



No. 16
## PmCuAg (PBE-GGA)

Data for a geometry-optimized PmCuAg structure.

The formation energy is 0.844 eV per formula unit. The value obtained for the relative energy among the computed polymorphs is 536 meV per atom. The raw total energy is -3.48 eV per atom.

The structure belongs to space group F-43m (No. 216); the cell edges are 6.805, 6.805 and 6.805 Å and the angles 90.00°, 90.00° and 90.00°. The distinct sites, in fractional coordinates, are Pm at (0.000, 0.000, 0.000), Cu at (0.250, 0.250, 0.250) and Ag at (0.250, 0.250, 0.750).



No. 17
## PmCuAg (PBE-GGA)

Data for a geometry-optimized PmCuAg structure.

The formation energy is -0.251 eV per formula unit. The value obtained for the relative energy among the computed polymorphs is 171 meV per atom. The raw total energy is -3.85 eV per atom.

The structure belongs to space group F-43m (No. 216); the cell edges are 6.544, 6.544 and 6.544 Å and the angles 90.00°, 90.00° and 90.00°. The distinct sites, in fractional coordinates, are Pm at (0.000, 0.000, 0.000), Cu at (0.250, 0.250, 0.750) and Ag at (0.000, 0.000, 0.500).



No. 18
## PmCuAg2 (PBE-GGA)

Data for a geometry-optimized PmCuAg2 structure.

The formation energy is -0.980 eV per formula unit. The raw total energy is -3.77 eV per atom.

The structure belongs to space group P2_1/m (No. 11); the cell edges are 4.184, 7.728 and 5.428 Å and the angles 90.00°, 112.65° and 90.00°. The distinct sites, in fractional coordinates, are Pm at (0.066, 0.250, 0.132), Cu at (0.223, 0.750, 0.448) and Ag at (0.359, 0.056, 0.717).



No. 19
## Pr2CuAg (PBE-GGA)

Data for a geometry-optimized Pr2CuAg structure.

The formation energy is -0.809 eV per formula unit. The value obtained for the relative energy among the computed polymorphs is 5 meV per atom. The raw total energy is -4.22 eV per atom.

The structure belongs to space group Pmc2_1 (No. 26); the cell edges are 4.765, 5.847 and 7.498 Å and the angles 90.00°, 90.00° and 90.00°. The distinct sites, in fractional coordinates, are Pr at (0.000, 0.108, 0.000), Pr at (0.500, 0.376, 0.360), Cu at (0.500, 0.122, 0.718) and Ag at (0.000, 0.384, 0.647).



No. 20
## PrCuAg (PBE-GGA)

Data for a geometry-optimized PrCuAg structure.

The formation energy is -0.684 eV per formula unit. The value obtained for the relative energy among the computed polymorphs is 0 meV per atom. The raw total energy is -4.00 eV per atom.

The structure belongs to space group C2/m (No. 12); the cell edges are 10.631, 4.532 and 7.241 Å and the angles 90.00°, 130.59° and 90.00°. The distinct sites, in fractional coordinates, are Pr at (0.040, 0.000, 0.291), Cu at (0.152, 0.500, 0.687) and Ag at (0.174, 0.500, 0.122).